1.
{
  "formula": "ScBe2",
  "functional": "PBE",
  "state": "optimized geometry",
  "lattice_angstrom": [[-4.511, 0.961, 2.519], [-1.466, 0.261, 5.040], [3.420, 1.350, -3.755]],
  "species": ["Sc", "Be", "Be"],
  "frac_coords": [[0.000, 0.000, 0.000], [0.699, 0.699, 0.000], [0.301, 0.301, 0.000]],
  "formation_energy_ev_per_fu": 0.22,
  "dos_ef_per_ev_atom": 0.5900,
  "rho_g_cm3": 2.67
}

=====

2.
{
  "formula": "ZrAg",
  "functional": "PBE",
  "state": "optimized geometry",
  "lattice_angstrom": [[-1.784, 2.047, 1.314], [-1.167, -1.994, -1.940], [-0.881, -3.256, 3.876]],
  "species": ["Zr", "Ag"],
  "frac_coords": [[0.333, 0.667, 0.500], [0.000, 0.000, 0.000]],
  "formation_energy_ev_per_fu": 0.18,
  "dos_ef_per_ev_atom": 1.2850,
  "rho_g_cm3": 8.16
}

=====

Please write out number 2 again, unchanged.
{
  "formula": "ZrAg",
  "functional": "PBE",
  "state": "optimized geometry",
  "lattice_angstrom": [[-1.784, 2.047, 1.314], [-1.167, -1.994, -1.940], [-0.881, -3.256, 3.876]],
  "species": ["Zr", "Ag"],
  "frac_coords": [[0.333, 0.667, 0.500], [0.000, 0.000, 0.000]],
  "formation_energy_ev_per_fu": 0.18,
  "dos_ef_per_ev_atom": 1.2850,
  "rho_g_cm3": 8.16
}

=====

Copy entry 2 word for word.
{
  "formula": "ZrAg",
  "functional": "PBE",
  "state": "optimized geometry",
  "lattice_angstrom": [[-1.784, 2.047, 1.314], [-1.167, -1.994, -1.940], [-0.881, -3.256, 3.876]],
  "species": ["Zr", "Ag"],
  "frac_coords": [[0.333, 0.667, 0.500], [0.000, 0.000, 0.000]],
  "formation_energy_ev_per_fu": 0.18,
  "dos_ef_per_ev_atom": 1.2850,
  "rho_g_cm3": 8.16
}